SrAcAgBi: optimized geometry, GGA-PBE.

Unit cell a=8.131 b=8.131 c=8.131 alpha=90.00 beta=90.00 gamma=90.00
Sites, in units of the cell vectors:
Sr  0.000  0.000  0.000
Sr  0.000  0.500  0.500
Sr  0.500  0.000  0.500
Sr  0.500  0.500  0.000
Ac  0.000  0.000  0.500
Ac  0.000  0.500  0.000
Ac  0.500  0.000  0.000
Ac  0.500  0.500  0.500
Ag  0.250  0.250  0.250
Ag  0.250  0.750  0.750
Ag  0.750  0.250  0.750
Ag  0.750  0.750  0.250
Bi  0.250  0.250  0.750
Bi  0.250  0.750  0.250
Bi  0.750  0.250  0.250
Bi  0.750  0.750  0.750

## Properties
Symmetry: F-43m
N(E_F) (states/eV/atom): 0.7757
Energy of formation (eV/atom): -0.52
Calculated volume (Å³/f.u.): 134.4
Total energy (eV per atom): -3.65